VASP calculation (PBE-GGA) on a relaxed structure of LaSmErPb.

Output
DOS(E_F), states/eV/f.u.: 7.219
ΔE_f, eV per atom: -0.16
Volume, Å³ per cell: 124.9
Total magnetization, μB/cell: 0.008

a b c (Å): 5.610 5.610 5.610
angles (deg): 60.00 60.00 60.00
Atoms (fractional coordinates):
Pb: 0.250 0.250 0.250
Sm: 0.500 0.500 0.500
Er: 0.750 0.750 0.750
La: 0.000 0.000 0.000